Below is a geometry-optimized PrNdThHg structure, with properties calculated at the PBE level.

a = 5.568 Å, b = 5.568 Å, c = 5.568 Å
α = 60.00°, β = 60.00°, γ = 60.00°
Positions (direct):
Pr  0.000  0.000  0.000
Nd  0.500  0.500  0.500
Th  0.750  0.750  0.750
Hg  0.250  0.250  0.250

Values from the calculation:
Total moment, μB/atom: 0.043
Fermi-level density of states, states/eV per atom: 1.519
ΔE_f, meV/atom: 38

=====

Below is a geometry-optimized BaLi2Sc structure, with properties calculated at the PBE level.

a = 6.597 Å, b = 6.597 Å, c = 6.597 Å
α = 148.39°, β = 128.57°, γ = 61.64°
Positions (direct):
Ba  0.000  0.000  0.000
Li  0.265  0.765  0.500
Li  0.458  0.458  0.000
Sc  0.702  0.202  0.500

Values from the calculation:
Total moment, μB/atom: 0.130
Fermi-level density of states, states/eV per atom: 1.361
Energy above the most stable polymorph in this dataset, kJ/mol of atoms: 5.4
ΔE_f, meV/atom: 286